DFT (PBE-GGA) results for an optimized crystal structure of Pm2Y3Ho6Tm.

Results
Energy of formation from the pure elements, eV per formula unit: 0.240
SG: C2/m (12)

abc: 6.1526 6.1526 11.7812
angles: 94.97 94.97 119.95
Fractional positions:
Pm: 0.1666 0.8334 0.0000
Pm: 0.8334 0.1666 0.0000
Y: 0.0000 0.0000 0.5000
Y: 0.3336 0.6664 0.5000
Y: 0.6664 0.3336 0.5000
Ho: 0.0833 0.4159 0.7495
Ho: 0.2518 0.2518 0.2507
Ho: 0.4159 0.0833 0.7495
Ho: 0.5841 0.9167 0.2505
Ho: 0.7482 0.7482 0.7493
Ho: 0.9167 0.5841 0.2505
Tm: 0.5000 0.5000 0.0000